[1]
K2In2As3 at its PBEsol-relaxed geometry. Source: Alexandria via LeMat-Bulk, functional meta-GGA SCAN.

a = 7.099 Å, b = 14.355 Å, c = 15.801 Å
α = 90.26°, β = 90.00°, γ = 90.00°
Element x y z (fractional)
K: 0.064 0.656 0.522
K: 0.954 0.083 0.392
K: 0.459 0.143 0.493
K: 0.423 0.438 0.406
K: 0.936 0.344 0.478
K: 0.041 0.143 0.993
K: 0.046 0.917 0.608
K: 0.541 0.857 0.507
K: 0.077 0.438 0.906
K: 0.577 0.562 0.594
K: 0.564 0.344 0.978
K: 0.454 0.917 0.108
K: 0.436 0.656 0.022
K: 0.959 0.857 0.007
K: 0.546 0.083 0.892
K: 0.923 0.562 0.094
As: 0.647 0.252 0.328
As: 0.070 0.666 0.893
As: 0.461 0.972 0.330
As: 0.540 0.521 0.843
As: 0.040 0.479 0.657
As: 0.703 0.751 0.677
As: 0.059 0.163 0.590
As: 0.930 0.334 0.107
As: 0.353 0.748 0.672
As: 0.960 0.521 0.343
As: 0.797 0.751 0.177
As: 0.460 0.479 0.157
As: 0.297 0.249 0.323
As: 0.559 0.837 0.910
As: 0.430 0.666 0.393
As: 0.570 0.334 0.607
As: 0.147 0.748 0.172
As: 0.941 0.837 0.410
As: 0.961 0.028 0.170
As: 0.039 0.972 0.830
As: 0.203 0.249 0.823
As: 0.539 0.028 0.670
As: 0.853 0.252 0.828
As: 0.441 0.163 0.090
In: 0.727 0.682 0.833
In: 0.256 0.817 0.324
In: 0.714 0.908 0.770
In: 0.786 0.908 0.270
In: 0.286 0.092 0.230
In: 0.756 0.183 0.176
In: 0.744 0.183 0.676
In: 0.755 0.409 0.242
In: 0.245 0.591 0.758
In: 0.214 0.092 0.730
In: 0.273 0.318 0.167
In: 0.745 0.409 0.742
In: 0.773 0.682 0.333
In: 0.244 0.817 0.824
In: 0.227 0.318 0.667
In: 0.255 0.591 0.258

Summary:
Energy relative to the elements = -0.53 eV/atom



[2]
Zr2TaRe at its PBEsol-relaxed geometry. Source: Alexandria via LeMat-Bulk, functional meta-GGA SCAN.

a = 3.214 Å, b = 3.214 Å, c = 7.221 Å
α = 90.00°, β = 90.00°, γ = 90.00°
Element x y z (fractional)
Zr: 0.000 0.000 0.988
Zr: 0.500 0.500 0.278
Ta: 0.500 0.500 0.719
Re: 0.000 0.000 0.515

Summary:
Energy above the most stable polymorph in this dataset = 4 meV per atom
Energy relative to the elements = -0.19 eV/atom



[3]
MgS at its PBEsol-relaxed geometry. Source: Alexandria via LeMat-Bulk, functional meta-GGA SCAN.

a = 4.007 Å, b = 4.007 Å, c = 19.485 Å
α = 90.00°, β = 90.00°, γ = 120.00°
Element x y z (fractional)
Mg: 0.667 0.333 0.666
Mg: 0.000 0.000 0.000
Mg: 0.667 0.333 0.333
Mg: 0.333 0.667 0.166
Mg: 0.333 0.667 0.833
Mg: 0.000 0.000 0.500
S: 0.333 0.667 0.292
S: 0.333 0.667 0.959
S: 0.667 0.333 0.459
S: 0.000 0.000 0.125
S: 0.667 0.333 0.792
S: 0.000 0.000 0.625

Summary:
Formation energy without anion corrections = -1.648 eV/atom



[4]
InTcCl2 at its PBEsol-relaxed geometry. Source: Alexandria via LeMat-Bulk, functional meta-GGA SCAN.

a = 3.058 Å, b = 5.402 Å, c = 6.014 Å
α = 115.37°, β = 90.00°, γ = 106.44°
Element x y z (fractional)
Tc: 0.701 0.402 0.375
Cl: 0.275 0.550 0.714
Cl: 0.092 0.185 0.039
In: 0.432 0.863 0.372

Summary:
Energy above the most stable polymorph in this dataset = 0 meV per atom
Formation energy without anion corrections = -0.263 eV/atom



[5]
LiTc3H at its PBEsol-relaxed geometry. Source: Alexandria via LeMat-Bulk, functional meta-GGA SCAN.

a = 3.831 Å, b = 3.831 Å, c = 3.831 Å
α = 90.00°, β = 90.00°, γ = 90.00°
Element x y z (fractional)
Tc: 0.000 0.000 0.500
Tc: 0.500 0.000 0.000
Tc: 0.000 0.500 0.000
H: 0.000 0.000 0.000
Li: 0.500 0.500 0.500



[6]
BaCo2Os at its PBEsol-relaxed geometry. Source: Alexandria via LeMat-Bulk, functional meta-GGA SCAN.

a = 3.420 Å, b = 5.332 Å, c = 5.332 Å
α = 62.68°, β = 71.29°, γ = 71.29°
Element x y z (fractional)
Co: 0.180 0.820 0.820
Co: 0.820 0.180 0.180
Os: 0.500 0.000 0.000
Ba: 0.000 0.500 0.500

Summary:
Energy above the most stable polymorph in this dataset = 969 meV per atom
Energy relative to the elements = 1.25 eV/atom



[7]
SrNbFeO6 at its PBEsol-relaxed geometry. Source: Alexandria via LeMat-Bulk, functional meta-GGA SCAN.

a = 5.384 Å, b = 5.388 Å, c = 5.384 Å
α = 60.03°, β = 90.00°, γ = 119.97°
Element x y z (fractional)
O: 0.739 0.000 0.740
O: 0.261 0.000 0.260
O: 0.260 0.000 0.739
O: 0.742 0.483 0.258
O: 0.258 0.517 0.742
O: 0.740 0.000 0.261
Sr: 0.750 0.500 0.750
Nb: 0.000 0.000 0.000
Fe: 0.500 0.000 0.500

Summary:
Formation energy without anion corrections = -2.240 eV/atom



[8]
CsMgSeN2 at its PBEsol-relaxed geometry. Source: Alexandria via LeMat-Bulk, functional meta-GGA SCAN.

a = 4.247 Å, b = 4.247 Å, c = 6.806 Å
α = 90.00°, β = 90.00°, γ = 90.00°
Element x y z (fractional)
N: 0.000 0.500 0.000
N: 0.500 0.000 0.000
Se: 0.000 0.000 0.500
Cs: 0.000 0.000 0.000
Mg: 0.500 0.500 0.500

Summary:
Formation energy without anion corrections = 1.848 eV/atom



[9]
ZnCuPt2 at its PBEsol-relaxed geometry. Source: Alexandria via LeMat-Bulk, functional meta-GGA SCAN.

a = 2.759 Å, b = 2.759 Å, c = 8.532 Å
α = 80.62°, β = 80.62°, γ = 60.10°
Element x y z (fractional)
Cu: 0.000 0.000 0.000
Pt: 0.750 0.750 0.750
Pt: 0.250 0.250 0.250
Zn: 0.500 0.500 0.500

Summary:
Energy relative to the elements = -0.31 eV/atom



[10]
GdNi2 at its PBEsol-relaxed geometry. Source: Alexandria via LeMat-Bulk, functional meta-GGA SCAN.

a = 5.001 Å, b = 5.001 Å, c = 5.001 Å
α = 60.00°, β = 60.00°, γ = 60.00°
Element x y z (fractional)
Gd: 0.250 0.250 0.250
Gd: 0.000 0.000 0.000
Ni: 0.625 0.125 0.625
Ni: 0.125 0.625 0.625
Ni: 0.625 0.625 0.625
Ni: 0.625 0.625 0.125

Summary:
Energy relative to the elements = -0.36 eV/atom



[11]
AlBi2OsRu at its PBEsol-relaxed geometry. Source: Alexandria via LeMat-Bulk, functional meta-GGA SCAN.

a = 4.760 Å, b = 5.188 Å, c = 5.188 Å
α = 90.00°, β = 90.00°, γ = 90.00°
Element x y z (fractional)
Bi: 0.000 0.000 0.500
Bi: 0.000 0.500 0.000
Al: 0.500 0.500 0.500
Ru: 0.500 0.000 0.000
Os: 0.000 0.000 0.000

Summary:
Energy relative to the elements = 1.33 eV/atom



[12]
CrOs2Se at its PBEsol-relaxed geometry. Source: Alexandria via LeMat-Bulk, functional meta-GGA SCAN.

a = 3.786 Å, b = 3.786 Å, c = 4.740 Å
α = 113.53°, β = 113.53°, γ = 90.00°
Element x y z (fractional)
Se: 0.500 0.500 0.000
Cr: 0.250 0.750 0.500
Os: 0.000 0.000 0.000
Os: 0.750 0.250 0.500

Summary:
Formation energy without anion corrections = 0.639 eV/atom



[13]
Na2MnCrW at its PBEsol-relaxed geometry. Source: Alexandria via LeMat-Bulk, functional meta-GGA SCAN.

a = 4.146 Å, b = 5.087 Å, c = 5.087 Å
α = 90.00°, β = 90.00°, γ = 90.00°
Element x y z (fractional)
Na: 0.000 0.500 0.000
Na: 0.000 0.000 0.500
Cr: 0.000 0.000 0.000
Mn: 0.500 0.000 0.000
W: 0.500 0.500 0.500

Summary:
Energy relative to the elements = 1.94 eV/atom



[14]
InTcP at its PBEsol-relaxed geometry. Source: Alexandria via LeMat-Bulk, functional meta-GGA SCAN.

a = 4.167 Å, b = 4.167 Å, c = 4.167 Å
α = 60.00°, β = 60.00°, γ = 60.00°
Element x y z (fractional)
In: 0.500 0.500 0.500
P: 0.750 0.750 0.750
Tc: 0.000 0.000 0.000

Summary:
Energy relative to the elements = 0.48 eV/atom



[15]
TiH2I at its PBEsol-relaxed geometry. Source: Alexandria via LeMat-Bulk, functional meta-GGA SCAN.

a = 4.170 Å, b = 4.170 Å, c = 4.170 Å
α = 60.00°, β = 60.00°, γ = 60.00°
Element x y z (fractional)
H: 0.250 0.250 0.250
H: 0.750 0.750 0.750
I: 0.500 0.500 0.500
Ti: 0.000 0.000 0.000



[16]
Ca2BeCr at its PBEsol-relaxed geometry. Source: Alexandria via LeMat-Bulk, functional meta-GGA SCAN.

a = 4.931 Å, b = 4.931 Å, c = 4.931 Å
α = 60.00°, β = 60.00°, γ = 60.00°
Element x y z (fractional)
Cr: 0.250 0.250 0.250
Ca: 0.000 0.000 0.000
Ca: 0.750 0.750 0.750
Be: 0.500 0.500 0.500

Summary:
Energy relative to the elements = 0.45 eV/atom



[17]
ZnInPt2 at its PBEsol-relaxed geometry. Source: Alexandria via LeMat-Bulk, functional meta-GGA SCAN.

a = 2.886 Å, b = 4.030 Å, c = 5.537 Å
α = 90.00°, β = 90.00°, γ = 90.00°
Element x y z (fractional)
Zn: 0.000 0.000 0.452
In: 0.500 0.500 0.777
Pt: 0.500 0.500 0.292
Pt: 0.000 0.000 0.979

Summary:
Energy relative to the elements = -0.40 eV/atom



[18]
Te3Cl at its PBEsol-relaxed geometry. Source: Alexandria via LeMat-Bulk, functional meta-GGA SCAN.

a = 3.980 Å, b = 3.980 Å, c = 6.972 Å
α = 90.00°, β = 90.00°, γ = 90.00°
Element x y z (fractional)
Te: 0.500 0.500 0.705
Te: 0.500 0.500 0.295
Te: 0.000 0.000 0.500
Cl: 0.000 0.000 0.000

Summary:
Formation energy without anion corrections = 0.117 eV/atom



[19]
ScTc2P2 at its PBEsol-relaxed geometry. Source: Alexandria via LeMat-Bulk, functional meta-GGA SCAN.

a = 4.246 Å, b = 4.246 Å, c = 5.317 Å
α = 113.54°, β = 113.54°, γ = 90.00°
Element x y z (fractional)
P: 0.750 0.250 0.500
P: 0.250 0.750 0.500
Tc: 0.370 0.370 0.740
Tc: 0.630 0.630 0.260
Sc: 0.000 0.000 0.000

Summary:
Energy relative to the elements = -0.53 eV/atom



[20]
RbTi3Mn at its PBEsol-relaxed geometry. Source: Alexandria via LeMat-Bulk, functional meta-GGA SCAN.

a = 4.615 Å, b = 4.615 Å, c = 4.615 Å
α = 90.00°, β = 90.00°, γ = 90.00°
Element x y z (fractional)
Ti: 0.000 0.000 0.500
Ti: 0.500 0.000 0.000
Ti: 0.000 0.500 0.000
Mn: 0.500 0.500 0.500
Rb: 0.000 0.000 0.000

Summary:
Energy relative to the elements = 2.02 eV/atom



[21]
ScTa3B at its PBEsol-relaxed geometry. Source: Alexandria via LeMat-Bulk, functional meta-GGA SCAN.

a = 4.593 Å, b = 4.593 Å, c = 4.593 Å
α = 90.00°, β = 90.00°, γ = 90.00°
Element x y z (fractional)
Sc: 0.000 0.000 0.000
Ta: 0.000 0.500 0.000
Ta: 0.000 0.000 0.500
Ta: 0.500 0.000 0.000
B: 0.500 0.500 0.500

Summary:
Energy relative to the elements = 2.84 eV/atom



[22]
TaPdOF2 at its PBEsol-relaxed geometry. Source: Alexandria via LeMat-Bulk, functional meta-GGA SCAN.

a = 3.894 Å, b = 4.090 Å, c = 4.090 Å
α = 90.00°, β = 90.00°, γ = 90.00°
Element x y z (fractional)
Pd: 0.500 0.500 0.500
Ta: 0.000 0.000 0.000
F: 0.000 0.500 0.000
F: 0.000 0.000 0.500
O: 0.500 0.000 0.000

Summary:
Formation energy without anion corrections = -1.679 eV/atom



[23]
Ru5Pt at its PBEsol-relaxed geometry. Source: Alexandria via LeMat-Bulk, functional meta-GGA SCAN.

a = 2.697 Å, b = 5.076 Å, c = 6.345 Å
α = 103.32°, β = 90.00°, γ = 105.41°
Element x y z (fractional)
Ru: 0.056 0.111 0.609
Ru: 0.387 0.774 0.282
Ru: 0.670 0.339 0.339
Ru: 0.724 0.448 0.941
Ru: 0.330 0.660 0.661
Pt: 0.000 0.001 0.001

Summary:
Energy above the most stable polymorph in this dataset = 14 meV per atom
Energy relative to the elements = 0.00 eV/atom



[24]
CsC at its PBEsol-relaxed geometry. Source: Alexandria via LeMat-Bulk, functional meta-GGA SCAN.

a = 4.198 Å, b = 5.139 Å, c = 6.541 Å
α = 90.00°, β = 108.72°, γ = 90.00°
Element x y z (fractional)
C: 0.121 0.750 0.242
C: 0.879 0.250 0.758
Cs: 0.381 0.750 0.763
Cs: 0.619 0.250 0.237

Summary:
Energy relative to the elements = 2.03 eV/atom



[25]
TlCo3Cl at its PBEsol-relaxed geometry. Source: Alexandria via LeMat-Bulk, functional meta-GGA SCAN.

a = 4.116 Å, b = 4.116 Å, c = 4.116 Å
α = 90.00°, β = 90.00°, γ = 90.00°
Element x y z (fractional)
Co: 0.000 0.000 0.500
Co: 0.500 0.000 0.000
Co: 0.000 0.500 0.000
Tl: 0.500 0.500 0.500
Cl: 0.000 0.000 0.000

Summary:
Formation energy without anion corrections = 0.883 eV/atom



[26]
NiGeRu3 at its PBEsol-relaxed geometry. Source: Alexandria via LeMat-Bulk, functional meta-GGA SCAN.

a = 4.412 Å, b = 4.412 Å, c = 4.412 Å
α = 90.00°, β = 90.00°, γ = 90.00°
Element x y z (fractional)
Ge: 0.000 0.000 0.000
Ru: 0.000 0.500 0.000
Ru: 0.000 0.000 0.500
Ru: 0.500 0.000 0.000
Ni: 0.500 0.500 0.500

Summary:
Energy relative to the elements = 1.43 eV/atom



| no. | raw total energy (eV/atom) |
| --- | --- |
| 1 | -21.10 |
| 2 | -49.96 |
| 3 | -8.95 |
| 4 | -21.36 |
| 5 | -21.85 |
| 6 | -35.26 |
| 7 | -14.56 |
| 8 | -14.44 |
| 9 | -42.59 |
| 10 | -30.75 |
| 11 | -52.99 |
| 12 | -44.92 |
| 13 | -21.01 |
| 14 | -25.80 |
| 15 | -14.13 |
| 16 | -10.07 |
| 17 | -47.22 |
| 18 | -29.82 |
| 19 | -21.56 |
| 20 | -15.40 |
| 21 | -41.44 |
| 22 | -24.21 |
| 23 | -40.72 |
| 24 | -21.93 |
| 25 | -25.57 |
| 26 | -26.52 |